Material: La2TaTl
Method: DFT, PBE
State: relaxed

Results
Volume = 224.7 Å³/cell
Formation enthalpy at 0 K = 0.209 eV/atom
Excess energy over the best structure of this formula in the dataset = 66 meV per atom

The structure in CIF format:
```
data_La2TaTl
_chemical_formula_sum 'La4 Ta2 Tl2'
_cell_length_a 12.1415
_cell_length_b 3.2801
_cell_length_c 5.8237
_cell_angle_alpha 90.00
_cell_angle_beta 104.34
_cell_angle_gamma 90.00
_space_group_name_H-M_alt 'C 1 m 1'
_space_group_IT_number 8
_space_group_name_Hall 'C -2y'
loop_
_atom_site_label
_atom_site_fract_x
_atom_site_fract_y
_atom_site_fract_z
La1 0.0000 0.0000 0.0000
La2 0.1931 0.0000 0.6462
Ta1 0.2504 0.5000 0.1599
Tl1 0.4360 0.0000 0.4714
```

---

Material: La2TaTl
Method: DFT, PBE
State: relaxed

Results
Volume = 233.7 Å³/cell
Formation enthalpy at 0 K = 0.422 eV/atom
Excess energy over the best structure of this formula in the dataset = 279 meV per atom

The structure in CIF format:
```
data_La2TaTl
_chemical_formula_sum 'La4 Ta2 Tl2'
_cell_length_a 9.9387
_cell_length_b 3.2704
_cell_length_c 7.2350
_cell_angle_alpha 90.00
_cell_angle_beta 96.36
_cell_angle_gamma 90.00
_space_group_name_H-M_alt 'C 1 2/m 1'
_space_group_IT_number 12
_space_group_name_Hall '-C 2y'
loop_
_atom_site_label
_atom_site_fract_x
_atom_site_fract_y
_atom_site_fract_z
La1 0.2476 0.0000 0.2278
Ta1 0.0000 0.5000 0.0000
Tl1 0.0000 0.0000 0.5000
```

---

Material: La2TaTl
Method: DFT, PBE
State: relaxed

Results
Volume = 330.0 Å³/cell
Formation enthalpy at 0 K = 0.378 eV/atom
Excess energy over the best structure of this formula in the dataset = 236 meV per atom

The structure in CIF format:
```
data_La2TaTl
_chemical_formula_sum 'La6 Ta3 Tl3'
_cell_length_a 3.4160
_cell_length_b 3.4160
_cell_length_c 32.6601
_cell_angle_alpha 90.00
_cell_angle_beta 90.00
_cell_angle_gamma 120.00
_space_group_name_H-M_alt 'R 3 m'
_space_group_IT_number 160
_space_group_name_Hall 'R 3 -2"'
loop_
_atom_site_label
_atom_site_fract_x
_atom_site_fract_y
_atom_site_fract_z
La1 0.0000 0.0000 0.0000
La2 0.0000 0.0000 0.2352
Ta1 0.0000 0.0000 0.4919
Tl1 0.0000 0.0000 0.7528
```

---

Material: La2TaTl
Method: DFT, PBE
State: relaxed

Results
Volume = 219.1 Å³/cell
Formation enthalpy at 0 K = 0.234 eV/atom
Excess energy over the best structure of this formula in the dataset = 92 meV per atom

The structure in CIF format:
```
data_La2TaTl
_chemical_formula_sum 'La4 Ta2 Tl2'
_cell_length_a 6.9627
_cell_length_b 9.5247
_cell_length_c 3.3045
_cell_angle_alpha 90.00
_cell_angle_beta 90.00
_cell_angle_gamma 90.00
_space_group_name_H-M_alt 'C m m m'
_space_group_IT_number 65
_space_group_name_Hall '-C 2 2'
loop_
_atom_site_label
_atom_site_fract_x
_atom_site_fract_y
_atom_site_fract_z
La1 0.2500 0.2500 0.0000
Ta1 0.0000 0.0000 0.5000
Tl1 0.0000 0.5000 0.5000
```

---

Material: La2Ta2Tl
Method: DFT, PBE
State: relaxed

Results
Volume = 293.6 Å³/cell
Formation enthalpy at 0 K = 0.368 eV/atom
Excess energy over the best structure of this formula in the dataset = 0 meV per atom

The structure in CIF format:
```
data_La2Ta2Tl
_chemical_formula_sum 'La4 Ta4 Tl2'
_cell_length_a 3.8166
_cell_length_b 3.8166
_cell_length_c 20.1574
_cell_angle_alpha 90.00
_cell_angle_beta 90.00
_cell_angle_gamma 90.00
_space_group_name_H-M_alt 'I 4/m m m'
_space_group_IT_number 139
_space_group_name_Hall '-I 4 2'
loop_
_atom_site_label
_atom_site_fract_x
_atom_site_fract_y
_atom_site_fract_z
La1 0.0000 0.0000 0.1133
Ta1 0.0000 0.5000 0.2500
Tl1 0.0000 0.0000 0.5000
```

---

Material: LaZr2TaTl
Method: DFT, PBE
State: relaxed

Results
Volume = 154.2 Å³/cell
Formation enthalpy at 0 K = 1.223 eV/atom

The structure in CIF format:
```
data_LaZr2TaTl
_chemical_formula_sum 'La1 Zr2 Ta1 Tl1'
_cell_length_a 5.4190
_cell_length_b 5.4190
_cell_length_c 5.2518
_cell_angle_alpha 90.00
_cell_angle_beta 90.00
_cell_angle_gamma 90.00
_space_group_name_H-M_alt 'P 4/m m m'
_space_group_IT_number 123
_space_group_name_Hall '-P 4 2'
loop_
_atom_site_label
_atom_site_fract_x
_atom_site_fract_y
_atom_site_fract_z
La1 0.0000 0.0000 0.0000
Zr1 0.0000 0.5000 0.5000
Ta1 0.5000 0.5000 0.0000
Tl1 0.5000 0.5000 0.5000
```